(1)
Material: YPtW2
Method: DFT, GGA-PBE
State: relaxed

Summary:
energy relative to the lowest polymorph listed for this composition: 0.50 eV per formula unit
calculated volume: 72.6 Å³ per cell
ΔH_f (0 K): 0.389 eV per formula unit
total magnetic moment: 0.000 μB/f.u.

abc: 2.878 2.878 8.872
angles: 90.00 90.00 98.99
Positions (direct):
Y: 0.000 0.000 0.508
W: 0.000 0.000 0.990
W: 0.500 0.500 0.227
Pt: 0.500 0.500 0.774

---

(2)
Material: YPt2W
Method: DFT, GGA-PBE
State: relaxed

Summary:
energy relative to the lowest polymorph listed for this composition: 2.07 eV per formula unit
calculated volume: 72.8 Å³ per cell
ΔH_f (0 K): 0.392 eV per formula unit
total magnetic moment: 0.000 μB/f.u.

abc: 9.729 9.729 9.729
angles: 17.51 17.51 17.51
Positions (direct):
Pt: 0.996 0.996 0.996
Pt: 0.248 0.248 0.248
W: 0.508 0.508 0.508
Y: 0.748 0.748 0.748

---

(3)
Material: YPtW2
Method: DFT, GGA-PBE
State: relaxed

Summary:
energy relative to the lowest polymorph listed for this composition: 0.72 eV per formula unit
calculated volume: 73.9 Å³ per cell
ΔH_f (0 K): 0.605 eV per formula unit
total magnetic moment: 0.000 μB/f.u.

abc: 5.585 5.585 5.585
angles: 143.25 134.27 60.05
Positions (direct):
W: 0.003 0.003 0.000
W: 0.497 0.497 0.000
Pt: 0.250 0.750 0.500
Y: 0.750 0.250 0.500

---

(4)
Material: YPt2W
Method: DFT, GGA-PBE
State: relaxed

Summary:
energy relative to the lowest polymorph listed for this composition: 2.29 eV per formula unit
calculated volume: 191.9 Å³ per cell
ΔH_f (0 K): 0.621 eV per formula unit
total magnetic moment: 0.000 μB/f.u.

abc: 4.873 4.873 8.785
angles: 73.90 73.90 90.00
Positions (direct):
Y: 0.250 0.750 0.500
Y: 0.500 0.500 0.000
Pt: 0.375 0.289 0.750
Pt: 0.711 0.125 0.250
Pt: 0.875 0.961 0.750
Pt: 0.039 0.625 0.250
W: 0.750 0.250 0.500
W: 0.000 0.000 0.000

---

(5)
Material: Y2PtW
Method: DFT, GGA-PBE
State: relaxed

Summary:
energy relative to the lowest polymorph listed for this composition: 1.01 eV per formula unit
calculated volume: 85.7 Å³ per cell
ΔH_f (0 K): 0.210 eV per formula unit
total magnetic moment: 0.000 μB/f.u.

abc: 5.765 5.765 5.765
angles: 137.72 137.72 61.33
Positions (direct):
Y: 0.250 0.750 0.500
Y: 0.000 0.000 0.000
Pt: 0.500 0.500 0.000
W: 0.750 0.250 0.500

---

(6)
Material: YPt2W
Method: DFT, GGA-PBE
State: relaxed

Summary:
energy relative to the lowest polymorph listed for this composition: 0.21 eV per formula unit
calculated volume: 70.6 Å³ per cell
ΔH_f (0 K): -1.464 eV per formula unit
total magnetic moment: 0.000 μB/f.u.

abc: 5.043 5.043 2.912
angles: 90.01 90.01 107.67
Positions (direct):
Pt: 0.500 0.500 0.000
Pt: 0.000 0.000 0.000
W: 0.500 0.000 0.500
Y: 0.000 0.500 0.500

---

(7)
Material: Y2PtW
Method: DFT, GGA-PBE
State: relaxed

Summary:
energy relative to the lowest polymorph listed for this composition: 1.37 eV per formula unit
calculated volume: 87.3 Å³ per cell
ΔH_f (0 K): 0.566 eV per formula unit
total magnetic moment: 0.001 μB/f.u.

abc: 3.063 4.782 5.960
angles: 90.00 90.00 90.00
Positions (direct):
W: 0.500 0.500 0.788
Y: 0.500 0.500 0.301
Y: 0.000 0.000 0.949
Pt: 0.000 0.000 0.462

---

(8)
Material: Y4PtW
Method: DFT, GGA-PBE
State: relaxed

Summary:
calculated volume: 145.5 Å³ per cell
ΔH_f (0 K): 5.204 eV per formula unit
total magnetic moment: 0.010 μB/f.u.

abc: 5.903 5.903 5.903
angles: 60.00 60.00 60.00
Positions (direct):
Y: 0.375 0.375 0.375
Y: 0.375 0.876 0.375
Y: 0.876 0.375 0.375
Y: 0.375 0.375 0.876
Pt: 0.750 0.750 0.750
W: 0.000 0.000 0.000

---

(9)
Material: YPtW2
Method: DFT, GGA-PBE
State: relaxed

Summary:
energy relative to the lowest polymorph listed for this composition: 1.09 eV per formula unit
calculated volume: 72.4 Å³ per cell
ΔH_f (0 K): 0.979 eV per formula unit
total magnetic moment: 0.000 μB/f.u.

abc: 5.226 5.684 2.824
angles: 79.98 80.68 114.80
Positions (direct):
W: 0.000 0.000 0.000
W: 0.500 0.000 0.500
Pt: 0.500 0.500 0.000
Y: 0.000 0.500 0.500

---

(10)
Material: Y2PtW
Method: DFT, GGA-PBE
State: relaxed

Summary:
energy relative to the lowest polymorph listed for this composition: 1.92 eV per formula unit
calculated volume: 92.1 Å³ per cell
ΔH_f (0 K): 1.115 eV per formula unit
total magnetic moment: 0.000 μB/f.u.

abc: 9.928 9.928 9.928
angles: 19.15 19.15 19.15
Positions (direct):
W: 0.760 0.760 0.760
Y: 0.012 0.012 0.012
Y: 0.236 0.236 0.236
Pt: 0.491 0.491 0.491

---

(11)
Material: Y2PtW
Method: DFT, GGA-PBE
State: relaxed

Summary:
energy relative to the lowest polymorph listed for this composition: 1.62 eV per formula unit
calculated volume: 86.3 Å³ per cell
ΔH_f (0 K): 0.818 eV per formula unit
total magnetic moment: 0.000 μB/f.u.

abc: 4.925 4.925 6.073
angles: 81.27 81.27 36.41
Positions (direct):
Pt: 0.750 0.750 0.750
Y: 0.497 0.497 0.501
Y: 0.003 0.003 0.999
W: 0.250 0.250 0.250

---

(12)
Material: YPtW2
Method: DFT, GGA-PBE
State: relaxed

Summary:
energy relative to the lowest polymorph listed for this composition: 1.68 eV per formula unit
calculated volume: 79.2 Å³ per cell
ΔH_f (0 K): 1.566 eV per formula unit
total magnetic moment: 0.000 μB/f.u.

abc: 3.422 3.422 6.763
angles: 90.00 90.00 90.00
Positions (direct):
W: 0.000 0.000 0.567
W: 0.000 0.000 0.933
Pt: 0.500 0.500 0.750
Y: 0.500 0.500 0.250